(1)
Au3NO PBE relaxed; space group = No. 221; E_form (uncorrected) = 1.42 eV/atom; DFT total energy = -0.235 Ry/atom
1.0
4.487 0.000 0.000
0.000 4.487 0.000
0.000 0.000 4.487
Au N O
3 1 1
direct
0.000 0.000 0.500
0.000 0.500 0.000
0.500 0.000 0.000
0.500 0.500 0.500
0.000 0.000 0.000

(2)
OsAuN2O PBE relaxed; space group = No. 123; E_form (uncorrected) = 0.83 eV/atom; DFT total energy = -0.470 Ry/atom
1.0
3.928 0.000 0.000
0.000 3.928 0.000
0.000 0.000 3.860
Os Au N O
1 1 2 1
direct
0.000 0.000 0.000
0.500 0.500 0.500
0.000 0.500 0.000
0.500 0.000 0.000
0.000 0.000 0.500

(3)
OsAuN2O PBE relaxed; space group = No. 123; E_form (uncorrected) = 2.47 eV/atom; DFT total energy = -0.349 Ry/atom
1.0
4.064 0.000 0.000
0.000 4.064 0.000
0.000 0.000 3.937
Os Au N O
1 1 2 1
direct
0.000 0.000 0.000
0.500 0.500 0.500
0.000 0.500 0.500
0.500 0.000 0.500
0.500 0.500 0.000

(4)
Pa3AuN2O6 PBE relaxed; space group = No. 12; E_form (uncorrected) = -2.16 eV/atom; DFT total energy = -0.637 Ry/atom
1.0
5.466 -3.582 0.000
5.466 3.582 0.000
-0.160 0.000 4.870
Pa Au N O
3 1 2 6
direct
0.000 0.000 0.000
0.000 0.500 0.500
0.500 0.000 0.500
0.500 0.500 0.500
0.168 0.168 0.274
0.832 0.832 0.726
0.127 0.685 0.238
0.315 0.873 0.762
0.339 0.339 0.700
0.661 0.661 0.300
0.685 0.127 0.238
0.873 0.315 0.762

(5)
PbAu2NO PBE relaxed; space group = No. 123; E_form (uncorrected) = 1.05 eV/atom; DFT total energy = -0.269 Ry/atom
1.0
4.171 0.000 0.000
0.000 4.171 0.000
0.000 0.000 5.431
Pb Au N O
1 2 1 1
direct
0.000 0.000 0.000
0.000 0.500 0.500
0.500 0.000 0.500
0.500 0.500 0.000
0.500 0.500 0.500

(6)
PbAuNO2 PBE relaxed; space group = No. 123; E_form (uncorrected) = 0.94 eV/atom; DFT total energy = -0.302 Ry/atom
1.0
4.330 0.000 0.000
0.000 4.330 0.000
0.000 0.000 4.438
Pb Au N O
1 1 1 2
direct
0.000 0.000 0.000
0.500 0.500 0.500
0.000 0.000 0.500
0.000 0.500 0.000
0.500 0.000 0.000

(7)
PbAuNO2 PBE relaxed; space group = No. 123; E_form (uncorrected) = 0.51 eV/atom; DFT total energy = -0.333 Ry/atom
1.0
4.382 0.000 0.000
0.000 4.382 0.000
0.000 0.000 3.864
Pb Au N O
1 1 1 2
direct
0.000 0.000 0.000
0.500 0.500 0.500
0.500 0.500 0.000
0.000 0.500 0.500
0.500 0.000 0.500

(8)
PdAuNO2 PBE relaxed; space group = No. 123; E_form (uncorrected) = 1.38 eV/atom; DFT total energy = -0.292 Ry/atom
1.0
4.245 0.000 0.000
0.000 4.245 0.000
0.000 0.000 3.770
Pd Au N O
1 1 1 2
direct
0.000 0.000 0.000
0.500 0.500 0.500
0.500 0.500 0.000
0.000 0.500 0.500
0.500 0.000 0.500

(9)
PdAuNO2 PBE relaxed; space group = No. 123; E_form (uncorrected) = 1.06 eV/atom; DFT total energy = -0.315 Ry/atom
1.0
4.180 0.000 0.000
0.000 4.180 0.000
0.000 0.000 3.700
Pd Au N O
1 1 1 2
direct
0.000 0.000 0.000
0.500 0.500 0.500
0.000 0.000 0.500
0.000 0.500 0.000
0.500 0.000 0.000

(10)
PtAuN2O PBE relaxed; space group = No. 123; E_form (uncorrected) = 1.48 eV/atom; DFT total energy = -0.346 Ry/atom
1.0
3.735 0.000 0.000
0.000 3.735 0.000
0.000 0.000 4.969
Pt Au N O
1 1 2 1
direct
0.000 0.000 0.000
0.500 0.500 0.500
0.000 0.500 0.000
0.500 0.000 0.000
0.000 0.000 0.500

(11)
PtAuN2O PBE relaxed; space group = No. 123; E_form (uncorrected) = 2.17 eV/atom; DFT total energy = -0.295 Ry/atom
1.0
4.028 0.000 0.000
0.000 4.028 0.000
0.000 0.000 4.176
Pt Au N O
1 1 2 1
direct
0.000 0.000 0.000
0.500 0.500 0.500
0.000 0.500 0.500
0.500 0.000 0.500
0.500 0.500 0.000

(12)
RbAuNO2 PBE relaxed; space group = No. 123; E_form (uncorrected) = 0.57 eV/atom; DFT total energy = -0.288 Ry/atom
1.0
4.491 0.000 0.000
0.000 4.491 0.000
0.000 0.000 3.839
Rb Au N O
1 1 1 2
direct
0.000 0.000 0.000
0.500 0.500 0.500
0.500 0.500 0.000
0.000 0.500 0.500
0.500 0.000 0.500

(13)
RbAuN2O PBE relaxed; space group = No. 123; E_form (uncorrected) = 2.50 eV/atom; DFT total energy = -0.196 Ry/atom
1.0
5.536 0.000 0.000
0.000 5.536 0.000
0.000 0.000 4.413
Rb Au N O
1 1 2 1
direct
0.000 0.000 0.000
0.500 0.500 0.500
0.000 0.500 0.000
0.500 0.000 0.000
0.000 0.000 0.500

(14)
RbAuN2O PBE relaxed; space group = No. 123; E_form (uncorrected) = 1.21 eV/atom; DFT total energy = -0.291 Ry/atom
1.0
4.172 0.000 0.000
0.000 4.172 0.000
0.000 0.000 4.711
Rb Au N O
1 1 2 1
direct
0.000 0.000 0.000
0.500 0.500 0.500
0.000 0.500 0.500
0.500 0.000 0.500
0.500 0.500 0.000